Compound: RbTaO2F
Source: Alexandria
Functional: GGA-PBEsol
Structure: relaxed

Magnetic moment (μB/f.u.): 0.00
Formation energy (no corrections) (kJ/mol of formula units): -1202

abc: 4.008 4.008 4.267
angles: 90.00 90.00 90.00
Fractional positions:
Rb1 0.000 0.000 0.000
Ta1 0.500 0.500 0.500
O1 0.000 0.500 0.500
O2 0.500 0.000 0.500
F1 0.500 0.500 0.000